(1)
The following is a GGA-PBE calculation of an optimized crystal structure of KAg4Te2, from Alexandria via LeMat-Bulk.

Cell and atoms, written as POSCAR:
```
KAg4Te2
1.0
-4.106 0.631 2.254
-3.957 -1.936 -1.712
-1.082 -8.230 5.287
Ag Te K
4 2 1
direct
0.154 0.154 0.537
0.552 0.552 0.343
0.448 0.448 0.657
0.846 0.846 0.463
0.745 0.745 0.766
0.255 0.255 0.234
0.000 0.000 0.000
```

Summary:
ΔE_f (raw): -22 kJ per mole of atoms
Polymorph energy (0 for the lowest one): 39 meV per atom
Symmetry: R-3m
Crystal system: trigonal

---

(2)
The following is a GGA-PBE calculation of an optimized crystal structure of Tb2PrNdTl2, from Alexandria via LeMat-Bulk.

Cell and atoms, written as POSCAR:
```
Tb2PrNdTl2
1.0
5.192 0.000 0.000
0.000 6.886 0.000
0.000 0.000 10.262
Nd Tb Tl Pr
2 4 4 2
direct
0.500 0.688 0.312
0.500 0.188 0.688
0.500 0.553 0.959
0.000 0.332 0.182
0.000 0.832 0.818
0.500 0.053 0.041
0.000 0.299 0.873
0.000 0.799 0.127
0.500 0.217 0.355
0.500 0.717 0.645
0.000 0.456 0.543
0.000 0.956 0.457
```

Summary:
Symmetry: Pmc2_1
Crystal system: orthorhombic
Energy of formation: -0.2709 eV per atom

---

(3)
The following is a GGA-PBE calculation of an optimized crystal structure of Sc3CdC, from Alexandria via LeMat-Bulk.

Cell and atoms, written as POSCAR:
```
Sc3CdC
1.0
-5.606 -0.500 -0.155
2.181 -2.143 -5.695
0.601 -6.405 -1.100
Sc C Cd
6 2 2
direct
0.833 0.169 0.852
0.293 0.705 0.097
0.343 0.222 0.589
0.293 0.705 0.599
0.833 0.169 0.380
0.754 0.657 0.872
0.078 0.432 0.484
0.564 0.938 0.731
0.815 0.697 0.352
0.310 0.193 0.104
```

Summary:
Polymorph energy (0 for the lowest one): 100 meV per atom
Symmetry: Cm
Crystal system: monoclinic
Energy of formation: -0.3643 eV per atom